No. 1
{
  "formula": "Sr2MnAs",
  "functional": "PBE-GGA",
  "state": "relaxed",
  "lattice": [[-1.1768, -4.1481, -0.2560], [0.3264, -0.3729, 4.5424], [-5.7206, 1.4483, 2.8295]],
  "species": ["As", "Mn", "Sr", "Sr"],
  "frac_coords": [[0.0000, 0.6857, 0.5032], [0.5000, 0.5688, 0.7379], [0.0000, 0.9807, 0.9135], [0.5000, 0.2648, 0.3454]],
  "total_energy_ev_per_atom": -4.688,
  "e_form_ev_per_atom": -0.39,
  "spacegroup": "Amm2, No. 38"
}

***

No. 2
{
  "formula": "RbSbS2",
  "functional": "PBE-GGA",
  "state": "relaxed",
  "lattice": [[3.9250, -0.0089, 0.0158], [0.0162, 5.1407, -0.7087], [-1.9929, -3.9863, 7.1692]],
  "species": ["Rb", "Sb", "S", "S"],
  "frac_coords": [[0.1719, 0.6109, 0.1306], [0.4384, 0.6970, 0.6616], [0.9090, 0.9608, 0.6025], [0.6159, 0.0060, 0.0180]],
  "e_form_raw_ev_per_atom": -0.657,
  "total_energy_ev_per_atom": -3.993,
  "spacegroup": "P1, No. 1"
}

***

No. 3
{
  "formula": "Ca2HfAu",
  "functional": "PBE-GGA",
  "state": "relaxed",
  "lattice": [[-5.4835, 6.7413, 0.4127], [-1.4217, -1.6718, 8.4183], [-1.1803, 4.3377, 5.1573]],
  "species": ["Hf", "Hf", "Ca", "Ca", "Ca", "Ca", "Au", "Au"],
  "frac_coords": [[0.5000, 0.5000, 0.0000], [0.2500, 0.7500, 0.5000], [0.6822, 0.1250, 0.2500], [0.0678, 0.6250, 0.2500], [0.3750, 0.3178, 0.7500], [0.8750, 0.9322, 0.7500], [0.0000, 0.0000, 0.0000], [0.7500, 0.2500, 0.5000]],
  "total_energy_ev_per_atom": -4.078,
  "de_polymorph_kj_per_mol_atoms": 0.0,
  "e_form_ev_per_atom": 0.23,
  "spacegroup": "I-42d, No. 122"
}

***

No. 4
{
  "formula": "ScNb2B6",
  "functional": "PBE-GGA",
  "state": "relaxed",
  "lattice": [[-2.8738, 0.8758, 1.5416], [-1.9517, 1.8348, -4.6807], [-0.8009, -5.1390, 1.4264]],
  "species": ["Sc", "Nb", "Nb", "B", "B", "B", "B", "B", "B"],
  "frac_coords": [[0.0000, 0.0000, 0.0000], [0.0000, 0.3333, 0.6667], [0.0000, 0.6667, 0.3333], [0.5000, 0.3333, 0.3333], [0.5000, 0.6667, 0.6667], [0.5000, 0.0000, 0.6667], [0.5000, 0.6667, 0.0000], [0.5000, 0.3333, 0.0000], [0.5000, 0.0000, 0.3333]],
  "total_energy_ev_per_atom": -8.243,
  "de_polymorph_kj_per_mol_atoms": 0.0,
  "e_form_ev_per_atom": -0.85,
  "spacegroup": "P6/mmm, No. 191"
}